Density functional theory data (PBE) for crystalline Li12Zn7Ni at its relaxed geometry.

Symmetry   R-3 (148)

a b c (Å): 7.3912 7.3912 7.3912
angles (deg): 107.99 107.99 107.99
Atoms (fractional coordinates):
Li1 0.1950 0.5184 0.6477
Li2 0.3523 0.8050 0.4816
Li3 0.8592 0.0413 0.3192
Li4 0.4816 0.3523 0.8050
Li5 0.3192 0.8592 0.0413
Li6 0.1408 0.9587 0.6808
Zn1 0.5000 0.5000 0.5000
Zn2 0.9005 0.6259 0.7588
Zn3 0.0995 0.3741 0.2412
Li7 0.9587 0.6808 0.1408
Li8 0.0413 0.3192 0.8592
Li9 0.5184 0.6477 0.1950
Li10 0.6808 0.1408 0.9587
Zn4 0.3741 0.2412 0.0995
Zn5 0.7588 0.9005 0.6259
Zn6 0.2412 0.0995 0.3741
Zn7 0.6259 0.7588 0.9005
Li11 0.8050 0.4816 0.3523
Li12 0.6477 0.1950 0.5184
Ni1 0.0000 0.0000 0.0000


Density functional theory data (PBE) for crystalline LiZnNi at its relaxed geometry.

Symmetry   Imm2 (44)

a b c (Å): 4.4646 4.4646 4.4646
angles (deg): 146.18 130.59 61.22
Atoms (fractional coordinates):
Ni1 0.3273 0.3273 0.0000
Zn1 0.6738 0.6738 0.0000
Li1 0.9989 0.9989 0.0000


Density functional theory data (PBE) for crystalline Li6Zn2Ni at its relaxed geometry.

Symmetry   C2/m (12)

a b c (Å): 4.1454 5.3066 6.9883
angles (deg): 112.49 107.25 90.00
Atoms (fractional coordinates):
Li1 0.5977 0.1522 0.1954
Zn1 0.9463 0.1924 0.8925
Ni1 0.5000 0.5000 0.0000
Li2 0.8437 0.5238 0.6873
Li3 0.1563 0.4762 0.3127
Li4 0.7064 0.8260 0.4128
Li5 0.2936 0.1740 0.5872
Zn2 0.0537 0.8076 0.1075
Li6 0.4023 0.8478 0.8046


Density functional theory data (PBE) for crystalline Li3Zn8Ni4 at its relaxed geometry.

Symmetry   Pm-3m (221)

a b c (Å): 8.2607 8.2607 8.2607
angles (deg): 60.00 60.00 60.00
Atoms (fractional coordinates):
Li1 0.2501 0.7499 0.7499
Ni1 0.5000 0.5000 0.0000
Zn1 0.1301 0.1301 0.1301
Ni2 0.0000 0.0000 0.0000
Ni3 0.0000 0.5000 0.0000
Zn2 0.8908 0.3697 0.3697
Zn3 0.8699 0.8699 0.3903
Zn4 0.3697 0.3697 0.3697
Ni4 0.0000 0.5000 0.5000
Li2 0.7499 0.2501 0.7499
Zn5 0.3903 0.8699 0.8699
Zn6 0.6097 0.1301 0.1301
Zn7 0.3697 0.8908 0.3697
Ni5 0.0000 0.0000 0.5000
Zn8 0.6303 0.1092 0.6303
Zn9 0.1092 0.6303 0.6303
Li3 0.7499 0.7499 0.2501
Zn10 0.6303 0.6303 0.6303
Li4 0.7499 0.2501 0.2501
Ni6 0.5000 0.5000 0.5000
Zn11 0.8699 0.8699 0.8699
Zn12 0.1301 0.6097 0.1301
Zn13 0.3697 0.3697 0.8908
Zn14 0.1301 0.1301 0.6097
Ni7 0.5000 0.0000 0.5000
Zn15 0.6303 0.6303 0.1092
Zn16 0.8699 0.3903 0.8699
Li5 0.2501 0.7499 0.2501
Ni8 0.5000 0.0000 0.0000
Li6 0.2501 0.2501 0.7499


Density functional theory data (PBE) for crystalline Li3Zn2Ni3 at its relaxed geometry.

Symmetry   R32 (155)

a b c (Å): 4.6701 4.6701 4.6701
angles (deg): 84.78 84.78 95.22
Atoms (fractional coordinates):
Ni1 0.5000 0.2002 0.2002
Ni2 0.2002 0.7998 0.5000
Li1 0.0000 0.2552 0.2552
Zn1 0.7024 0.7024 0.2976
Zn2 0.2976 0.2976 0.7024
Ni3 0.7998 0.5000 0.7998
Li2 0.2552 0.7448 0.0000
Li3 0.7448 0.0000 0.7448


Density functional theory data (PBE) for crystalline Li2Zn2Ni3 at its relaxed geometry.

Symmetry   P-1 (2)

a b c (Å): 2.6132 5.6226 7.1222
angles (deg): 113.61 100.82 103.48
Atoms (fractional coordinates):
Li1 0.3220 0.2076 0.4377
Zn1 0.4505 0.7427 0.1587
Ni1 0.0000 0.0000 0.0000
Li2 0.6780 0.7924 0.5623
Zn2 0.5495 0.2573 0.8413
Ni2 0.8298 0.4186 0.2408
Ni3 0.1702 0.5814 0.7592


Density functional theory data (PBE) for crystalline Li3Zn2Ni3 at its relaxed geometry.

Symmetry   C2/m (12)

a b c (Å): 4.1694 4.2087 6.2732
angles (deg): 109.60 109.33 90.00
Atoms (fractional coordinates):
Ni1 0.1164 0.6164 0.2328
Zn1 0.2572 0.2570 0.5140
Ni2 0.8836 0.3836 0.7672
Zn2 0.7428 0.7430 0.4860
Li1 0.6247 0.1243 0.2486
Ni3 0.5000 0.5000 0.0000
Li2 0.3753 0.8757 0.7514
Li3 0.0000 0.0000 0.0000


Density functional theory data (PBE) for crystalline LiZn2Ni at its relaxed geometry.

Symmetry   F-43m (216)

a b c (Å): 4.1624 4.1624 4.1624
angles (deg): 60.00 60.00 60.00
Atoms (fractional coordinates):
Li1 0.5000 0.5000 0.5000
Zn1 0.2500 0.2500 0.2500
Zn2 0.0000 0.0000 0.0000
Ni1 0.7500 0.7500 0.7500


Density functional theory data (PBE) for crystalline LiZnNi2 at its relaxed geometry.

Symmetry   Imm2 (44)

a b c (Å): 4.8853 4.8853 4.8853
angles (deg): 147.55 130.19 60.71
Atoms (fractional coordinates):
Ni1 0.7543 0.2543 0.5000
Ni2 0.9926 0.9926 0.0000
Zn1 0.5076 0.5076 0.0000
Li1 0.2456 0.7456 0.5000


Density functional theory data (PBE) for crystalline LiZn2Ni9 at its relaxed geometry.

Symmetry   P4/mmm (123)

a b c (Å): 3.5674 3.5674 10.6369
angles (deg): 90.00 90.00 90.00
Each line ends with the local moment (μB).
Atoms (fractional coordinates):
Ni1 0.5000 0.5000 0.3311  0.44
Ni2 0.5000 0.5000 0.6689  0.44
Zn1 0.0000 0.0000 0.6687  -0.02
Ni3 0.5000 0.5000 0.0000  0.60
Ni4 0.5000 0.0000 0.1630  0.52
Zn2 0.0000 0.0000 0.3313  -0.02
Li1 0.0000 0.0000 0.0000  -0.02
Ni5 0.0000 0.5000 0.8370  0.52
Ni6 0.5000 0.0000 0.8370  0.52
Ni7 0.0000 0.5000 0.5000  0.45
Ni8 0.5000 0.0000 0.5000  0.45
Ni9 0.0000 0.5000 0.1630  0.52


Density functional theory data (PBE) for crystalline LiZnNi6 at its relaxed geometry.

Symmetry   Cmmm (65)

a b c (Å): 5.0183 7.4783 10.0827
angles (deg): 90.00 90.00 109.60
Each line ends with the local moment (μB).
Atoms (fractional coordinates):
Ni1 0.1269 0.7507 0.8757  0.37
Li1 0.5000 0.0000 0.7508  -0.01
Li2 0.2494 0.4987 0.0000  -0.01
Ni2 0.2502 0.5005 0.7534  0.46
Ni3 0.6238 0.7507 0.1243  0.37
Zn1 0.2500 0.4999 0.5000  -0.02
Li3 0.5000 0.0000 0.2492  -0.01
Ni4 0.8739 0.2501 0.6261  0.29
Ni5 0.3761 0.2501 0.6261  0.29
Li4 0.7506 0.5013 0.0000  -0.01
Ni6 0.3761 0.2501 0.3739  0.29
Ni7 0.5000 0.0000 0.5000  0.52
Ni8 0.1261 0.7499 0.3739  0.29
Ni9 0.6239 0.7499 0.6261  0.29
Ni10 0.5000 0.0000 0.0000  0.50
Zn2 0.0000 0.0000 0.7503  -0.02
Ni11 0.6239 0.7499 0.3739  0.29
Ni12 0.2502 0.5005 0.2466  0.46
Ni13 0.8731 0.2493 0.8757  0.37
Zn3 0.7500 0.5001 0.5000  -0.02
Ni14 0.1269 0.7507 0.1243  0.37
Ni15 0.3762 0.2493 0.1243  0.37
Ni16 0.8739 0.2501 0.3739  0.29
Ni17 0.3762 0.2493 0.8757  0.37
Ni18 0.8731 0.2493 0.1243  0.37
Ni19 0.7498 0.4995 0.7534  0.46
Zn4 0.0000 0.0000 0.2497  -0.02
Ni20 0.0000 0.0000 0.0000  0.43
Ni21 0.6238 0.7507 0.8757  0.37
Ni22 0.0000 0.0000 0.5000  0.44
Ni23 0.7498 0.4995 0.2466  0.46
Ni24 0.1261 0.7499 0.6261  0.29


Density functional theory data (PBE) for crystalline Li6Zn2Ni at its relaxed geometry.

Symmetry   C2/m (12)

a b c (Å): 2.7679 7.8375 7.8375
angles (deg): 125.13 86.05 86.05
Atoms (fractional coordinates):
Li1 0.3646 0.3052 0.3052
Li2 0.8456 0.1579 0.5036
Li3 0.6354 0.6948 0.6948
Ni1 0.0000 0.0000 0.0000
Li4 0.8456 0.5036 0.1579
Zn1 0.5000 0.1492 0.8508
Li5 0.1544 0.4964 0.8421
Li6 0.1544 0.8421 0.4964
Zn2 0.5000 0.8508 0.1492


Density functional theory data (PBE) for crystalline Li2ZnNi8 at its relaxed geometry.

Symmetry   C2/m (12)

a b c (Å): 6.8752 6.8278 6.8278
angles (deg): 41.79 42.11 42.11
Each line ends with the local moment (μB).
Atoms (fractional coordinates):
Ni1 0.3781 0.6362 0.6362  0.53
Ni2 0.9116 0.6179 0.1411  0.42
Ni3 0.7258 0.6287 0.6287  0.51
Ni4 0.6219 0.3638 0.3638  0.53
Ni5 0.0884 0.3821 0.8589  0.42
Ni6 0.9116 0.1411 0.6179  0.42
Li1 0.4287 0.1241 0.1242  -0.02
Ni7 0.0884 0.8589 0.3821  0.42
Zn1 0.0000 0.0000 0.0000  -0.02
Ni8 0.2742 0.3713 0.3713  0.51
Li2 0.5713 0.8759 0.8758  -0.02


Density functional theory data (PBE) for crystalline LiZnNi2 at its relaxed geometry.

Symmetry   P4mm (99)

a b c (Å): 2.5802 2.5802 7.4039
angles (deg): 90.00 90.00 90.00
Each line ends with the local moment (μB).
Atoms (fractional coordinates):
Ni1 0.0000 0.0000 0.0168  0.27
Ni2 0.5000 0.5000 0.2383  0.14
Zn1 0.0000 0.0000 0.4769  0.00
Li1 0.5000 0.5000 0.7679  -0.01


Density functional theory data (PBE) for crystalline LiZnNi2 at its relaxed geometry.

Symmetry   I-4m2 (119)

a b c (Å): 4.0458 4.0458 4.0458
angles (deg): 120.17 120.17 89.70
Atoms (fractional coordinates):
Zn1 0.5000 0.5000 0.0000
Ni1 0.0000 0.0000 0.0000
Li1 0.7500 0.2500 0.5000
Ni2 0.2500 0.7500 0.5000


Density functional theory data (PBE) for crystalline LiZn3Ni2 at its relaxed geometry.

Symmetry   P2_1/m (11)

a b c (Å): 5.0642 4.1206 7.1588
angles (deg): 90.00 89.52 90.00
Atoms (fractional coordinates):
Zn1 0.8348 0.7501 0.5832
Ni1 0.3408 0.2500 0.0827
Zn2 0.4999 0.7500 0.2498
Zn3 0.5001 0.2500 0.7502
Li1 0.9998 0.7499 0.2497
Ni2 0.6579 0.2501 0.4176
Ni3 0.3421 0.7499 0.5824
Li2 0.0002 0.2501 0.7503
Zn4 0.8336 0.2499 0.0835
Zn5 0.1652 0.2499 0.4168
Ni4 0.6592 0.7500 0.9173
Zn6 0.1664 0.7501 0.9165


Density functional theory data (PBE) for crystalline Li2Zn2Ni5 at its relaxed geometry.

Symmetry   C2/m (12)

a b c (Å): 4.0286 4.7283 6.3497
angles (deg): 113.01 108.50 90.00
Atoms (fractional coordinates):
Ni1 0.6673 0.0097 0.3346
Ni2 0.3327 0.9903 0.6654
Ni3 0.7769 0.6655 0.5538
Zn1 0.1170 0.6781 0.2340
Zn2 0.8830 0.3219 0.7660
Li1 0.5558 0.3258 0.1115
Ni4 0.2231 0.3345 0.4462
Li2 0.4442 0.6742 0.8885
Ni5 0.0000 0.0000 0.0000


Density functional theory data (PBE) for crystalline Li2ZnNi6 at its relaxed geometry.

Symmetry   C2/m (12)

a b c (Å): 7.2881 7.2881 4.3948
angles (deg): 88.03 88.03 118.48
Each line ends with the local moment (μB).
Atoms (fractional coordinates):
Li1 0.3349 0.1649 0.5002  -0.01
Li2 0.6651 0.8351 0.4998  -0.01
Ni1 0.5001 0.3349 0.9992  0.41
Ni2 0.0000 0.1651 0.5009  0.41
Zn1 0.7500 0.2500 0.2500  -0.02
Ni3 0.8349 0.0000 0.9991  0.41
Ni4 0.0000 0.8349 0.4991  0.41
Ni5 0.9139 0.4138 0.7422  0.16
Zn2 0.2500 0.7500 0.7500  -0.02
Ni6 0.0861 0.5862 0.2578  0.16
Ni7 0.3349 0.5001 0.4992  0.41
Ni8 0.1651 0.0000 0.0009  0.41
Ni9 0.4138 0.9139 0.2422  0.16
Ni10 0.4999 0.6651 0.0008  0.41
Ni11 0.5862 0.0861 0.7578  0.16
Li3 0.8351 0.6651 0.9998  -0.01
Ni12 0.6651 0.4999 0.5008  0.41
Li4 0.1649 0.3349 0.0002  -0.01


Density functional theory data (PBE) for crystalline LiZnNi2 at its relaxed geometry.

Symmetry   I-42d (122)

a b c (Å): 6.4186 6.4186 5.1601
angles (deg): 51.54 51.54 90.00
Atoms (fractional coordinates):
Ni1 0.6203 0.1250 0.2500
Ni2 0.1297 0.6250 0.2500
Zn1 0.7500 0.2500 0.5000
Ni3 0.8750 0.8703 0.7500
Li1 0.2500 0.7500 0.5000
Zn2 0.0000 0.0000 0.0000
Ni4 0.3750 0.3797 0.7500
Li2 0.5000 0.5000 0.0000


Density functional theory data (PBE) for crystalline Li23Zn6Ni at its relaxed geometry.

Symmetry   Fm-3m (225)

a b c (Å): 8.9853 8.9853 8.9853
angles (deg): 60.00 60.00 60.00
Atoms (fractional coordinates):
Li1 0.5000 0.0000 0.5000
Zn1 0.2521 0.7479 0.2521
Li2 0.1273 0.1273 0.6181
Li3 0.1273 0.6181 0.1273
Li4 0.1498 0.6167 0.6167
Li5 0.0000 0.5000 0.0000
Li6 0.6167 0.1498 0.6167
Zn2 0.7479 0.7479 0.2521
Li7 0.8727 0.8727 0.8727
Li8 0.8727 0.8727 0.3819
Zn3 0.2521 0.7479 0.7479
Zn4 0.2521 0.2521 0.7479
Li9 0.3819 0.8727 0.8727
Ni1 0.5000 0.5000 0.5000
Li10 0.6167 0.6167 0.1498
Li11 0.8727 0.3819 0.8727
Li12 0.5000 0.5000 0.0000
Li13 0.6181 0.1273 0.1273
Zn5 0.7479 0.2521 0.7479
Li14 0.0000 0.5000 0.5000
Li15 0.0000 0.0000 0.0000
Li16 0.0000 0.0000 0.5000
Li17 0.3833 0.3833 0.3833
Li18 0.8502 0.3833 0.3833
Li19 0.3833 0.8502 0.3833
Zn6 0.7479 0.2521 0.2521
Li20 0.6167 0.6167 0.6167
Li21 0.5000 0.0000 0.0000
Li22 0.1273 0.1273 0.1273
Li23 0.3833 0.3833 0.8502


| no. | E_form (eV/atom) | magnetization (μB/cell) |
| --- | --- | --- |
| 1 | -0.117 | 0.00 |
| 2 | -0.158 | 0.00 |
| 3 | -0.084 | 0.00 |
| 4 | -0.206 | 0.00 |
| 5 | -0.113 | 0.00 |
| 6 | -0.107 | 0.00 |
| 7 | -0.140 | 0.00 |
| 8 | -0.156 | 0.00 |
| 9 | -0.097 | 0.01 |
| 10 | -0.060 | 4.20 |
| 11 | -0.067 | 8.36 |
| 12 | -0.073 | 0.00 |
| 13 | 0.089 | 3.50 |
| 14 | -0.064 | 0.35 |
| 15 | -0.115 | 0.00 |
| 16 | -0.242 | 0.00 |
| 17 | -0.081 | 0.00 |
| 18 | 0.048 | 3.61 |
| 19 | 0.206 | 0.00 |
| 20 | -0.036 | 0.00 |